Here is SiHg4S6 at its PBEsol-relaxed geometry from Alexandria. Energies are from SCAN.

Cell: 7.097 7.102 12.243 Å, 73.49 73.15 60.02°
Element x y z (fractional)
Si: 0.330 0.204 0.604
Si: 0.862 0.704 0.104
Hg: 0.724 0.253 0.692
Hg: 0.331 0.753 0.192
Hg: 0.217 0.840 0.848
Hg: 0.095 0.340 0.348
Hg: 0.461 0.267 0.042
Hg: 0.230 0.767 0.542
Hg: 0.921 0.496 0.856
Hg: 0.726 0.996 0.356
S: 0.454 0.336 0.234
S: 0.977 0.836 0.734
S: 0.014 0.402 0.556
S: 0.028 0.902 0.056
S: 0.034 0.387 0.056
S: 0.522 0.887 0.556
S: 0.300 0.169 0.786
S: 0.744 0.669 0.286
S: 0.582 0.471 0.854
S: 0.093 0.971 0.354
S: 0.528 0.374 0.521
S: 0.578 0.874 0.021

Output
Space group: Cc, No. 9
Uncorrected formation energy (meV per atom): -314
Total magnetic moment (μB/cell): 0.00